(1)
First-principles (PBE) data for a relaxed structure of HoScZn2, as listed in Alexandria via LeMat-Bulk.

Properties
crystal system: cubic
calculated total energy: -0.1365 hartree per atom
ΔH_f (0 K): -0.35 eV per atom
calculated density: 6.86 Mg/m³

a = 4.8864 Å, b = 4.8863 Å, c = 4.8863 Å
α = 60.00°, β = 60.00°, γ = 60.00°
Element x y z (fractional)
Ho (0.7500, 0.7500, 0.7500)
Zn (0.0000, 0.0000, 0.0000)
Zn (0.5000, 0.5000, 0.5000)
Sc (0.2500, 0.2500, 0.2500)

***

(2)
First-principles (PBE) data for a relaxed structure of Ho2ScZn3, as listed in Alexandria via LeMat-Bulk.

Properties
crystal system: tetragonal
calculated total energy: -0.1310 hartree per atom
ΔH_f (0 K): -0.35 eV per atom
calculated density: 7.45 Mg/m³

a = 3.4855 Å, b = 3.4855 Å, c = 10.4757 Å
α = 90.00°, β = 90.00°, γ = 90.00°
Element x y z (fractional)
Zn (0.0000, 0.0000, 0.0000)
Zn (0.0000, 0.0000, 0.6491)
Zn (0.0000, 0.0000, 0.3509)
Sc (0.5000, 0.5000, 0.5000)
Ho (0.5000, 0.5000, 0.8276)
Ho (0.5000, 0.5000, 0.1724)

***

(3)
First-principles (PBE) data for a relaxed structure of HoSc2Zn3, as listed in Alexandria via LeMat-Bulk.

Properties
crystal system: tetragonal
calculated total energy: -0.1421 hartree per atom
ΔH_f (0 K): -0.36 eV per atom
calculated density: 6.25 Mg/m³

a = 3.4160 Å, b = 3.4160 Å, c = 10.2690 Å
α = 90.00°, β = 90.00°, γ = 90.00°
Element x y z (fractional)
Zn (0.0000, 0.0000, 0.3156)
Zn (0.0000, 0.0000, 0.0000)
Zn (0.0000, 0.0000, 0.6844)
Sc (0.5000, 0.5000, 0.1607)
Sc (0.5000, 0.5000, 0.8393)
Ho (0.5000, 0.5000, 0.5000)

***

(4)
First-principles (PBE) data for a relaxed structure of HoSc3Zn8, as listed in Alexandria via LeMat-Bulk.

Properties
crystal system: trigonal
calculated total energy: -0.1156 hartree per atom
ΔH_f (0 K): -0.33 eV per atom
calculated density: 6.49 Mg/m³

a = 5.3079 Å, b = 5.3079 Å, c = 9.1615 Å
α = 73.16°, β = 73.16°, γ = 60.00°
Element x y z (fractional)
Zn (0.6876, 0.6876, 0.9373)
Zn (0.9405, 0.4382, 0.1831)
Zn (0.4382, 0.4382, 0.1831)
Zn (0.4344, 0.9372, 0.6911)
Zn (0.9372, 0.9372, 0.6911)
Zn (0.4382, 0.9405, 0.1831)
Zn (0.9372, 0.4344, 0.6911)
Zn (0.1873, 0.1873, 0.4381)
Sc (0.0014, 0.0014, 0.9959)
Sc (0.3743, 0.3743, 0.8771)
Sc (0.4979, 0.4979, 0.5063)
Ho (0.8758, 0.8758, 0.3726)

***

(5)
First-principles (PBE) data for a relaxed structure of Ho2ScZn, as listed in Alexandria via LeMat-Bulk.

Properties
crystal system: tetragonal
calculated total energy: -0.1558 hartree per atom
ΔH_f (0 K): -0.05 eV per atom
calculated density: 7.36 Mg/m³

a = 3.7159 Å, b = 5.1687 Å, c = 5.1687 Å
α = 90.00°, β = 90.00°, γ = 90.00°
Element x y z (fractional)
Sc (0.5000, 0.5000, 0.5000)
Ho (0.0000, 0.5000, 0.0000)
Ho (0.0000, 0.0000, 0.5000)
Zn (0.5000, 0.0000, 0.0000)

***

(6)
First-principles (PBE) data for a relaxed structure of Ho2ScZn3, as listed in Alexandria via LeMat-Bulk.

Properties
crystal system: trigonal
calculated total energy: -0.1309 hartree per atom
ΔH_f (0 K): -0.34 eV per atom
calculated density: 7.44 Mg/m³

a = 4.9276 Å, b = 4.9276 Å, c = 12.1242 Å
α = 90.00°, β = 90.00°, γ = 120.00°
Element x y z (fractional)
Zn (0.6667, 0.3333, 0.5811)
Zn (0.3333, 0.6667, 0.4189)
Zn (0.6667, 0.3333, 0.0873)
Zn (0.3333, 0.6667, 0.9127)
Zn (0.0000, 0.0000, 0.7449)
Zn (0.0000, 0.0000, 0.2551)
Ho (0.0000, 0.0000, 0.5000)
Ho (0.6667, 0.3333, 0.8276)
Ho (0.0000, 0.0000, 0.0000)
Ho (0.3333, 0.6667, 0.1724)
Sc (0.3333, 0.6667, 0.6664)
Sc (0.6667, 0.3333, 0.3336)

***

(7)
First-principles (PBE) data for a relaxed structure of Ho5ZrSc4, as listed in Alexandria via LeMat-Bulk.

Properties
crystal system: tetragonal
calculated total energy: -0.1958 hartree per atom
ΔH_f (0 K): 0.35 eV per atom
calculated density: 6.46 Mg/m³

a = 6.0164 Å, b = 7.4725 Å, c = 7.4725 Å
α = 80.67°, β = 66.26°, γ = 66.26°
Element x y z (fractional)
Ho (0.1948, 0.9096, 0.6214)
Ho (0.7259, 0.0904, 0.3786)
Ho (0.8163, 0.3786, 0.9096)
Ho (0.6631, 0.0000, 0.0000)
Ho (0.1044, 0.6214, 0.0904)
Sc (0.4012, 0.3951, 0.6986)
Sc (0.4950, 0.6049, 0.3014)
Sc (0.7964, 0.6986, 0.6049)
Sc (0.0999, 0.3014, 0.3951)
Zr (0.2134, 0.0000, 0.0000)

***

(8)
First-principles (PBE) data for a relaxed structure of HoZr2Sc3, as listed in Alexandria via LeMat-Bulk.

Properties
crystal system: monoclinic
calculated total energy: -0.2453 hartree per atom
ΔH_f (0 K): 0.10 eV per atom
calculated density: 5.35 Mg/m³

a = 3.2006 Å, b = 8.9194 Å, c = 10.5141 Å
α = 86.41°, β = 90.00°, γ = 90.00°
Element x y z (fractional)
Zr (0.7500, 0.5513, 0.1276)
Zr (0.2500, 0.4487, 0.8724)
Zr (0.2500, 0.9120, 0.6223)
Zr (0.7500, 0.0880, 0.3777)
Sc (0.7500, 0.9255, 0.1206)
Sc (0.7500, 0.6007, 0.6158)
Sc (0.2500, 0.2384, 0.1389)
Sc (0.2500, 0.0745, 0.8794)
Sc (0.7500, 0.7616, 0.8611)
Sc (0.2500, 0.3993, 0.3842)
Ho (0.2500, 0.7552, 0.3554)
Ho (0.7500, 0.2448, 0.6446)

***

(9)
First-principles (PBE) data for a relaxed structure of HoZrSc, as listed in Alexandria via LeMat-Bulk.

Properties
crystal system: tetragonal
calculated total energy: -0.2363 hartree per atom
ΔH_f (0 K): 0.06 eV per atom
calculated density: 6.44 Mg/m³

a = 3.3089 Å, b = 3.3089 Å, c = 7.4695 Å
α = 102.80°, β = 102.80°, γ = 90.00°
Element x y z (fractional)
Ho (0.9941, 0.9941, 0.9883)
Zr (0.3284, 0.3284, 0.6568)
Sc (0.6775, 0.6775, 0.3549)

***

(10)
First-principles (PBE) data for a relaxed structure of HoZrSc5, as listed in Alexandria via LeMat-Bulk.

Properties
crystal system: monoclinic
calculated total energy: -0.2269 hartree per atom
ΔH_f (0 K): 0.22 eV per atom
calculated density: 4.42 Mg/m³

a = 6.4389 Å, b = 7.7438 Å, c = 7.7438 Å
α = 97.45°, β = 102.65°, γ = 102.65°
Element x y z (fractional)
Sc (0.8557, 0.2756, 0.7186)
Sc (0.1443, 0.7244, 0.2814)
Sc (0.5418, 0.9017, 0.6647)
Sc (0.2500, 0.3851, 0.1149)
Sc (0.6443, 0.7814, 0.2244)
Sc (0.3557, 0.2186, 0.7756)
Sc (0.4582, 0.0983, 0.3353)
Sc (0.9582, 0.8353, 0.5983)
Sc (0.7500, 0.6149, 0.8851)
Sc (0.0418, 0.1647, 0.4017)
Ho (0.7500, 0.3480, 0.1520)
Ho (0.2500, 0.6520, 0.8480)
Zr (0.5000, 0.5000, 0.5000)
Zr (0.0000, 0.0000, 0.0000)

***

(11)
First-principles (PBE) data for a relaxed structure of HoZr3Sc6, as listed in Alexandria via LeMat-Bulk.

Properties
crystal system: monoclinic
calculated total energy: -0.2483 hartree per atom
ΔH_f (0 K): 0.07 eV per atom
calculated density: 4.77 Mg/m³

a = 3.2118 Å, b = 11.9246 Å, c = 13.0793 Å
α = 100.05°, β = 90.00°, γ = 90.00°
Element x y z (fractional)
Sc (0.2500, 0.2784, 0.7034)
Sc (0.7500, 0.8049, 0.0706)
Sc (0.7500, 0.3471, 0.1166)
Sc (0.7500, 0.7774, 0.7146)
Sc (0.2500, 0.5008, 0.3114)
Sc (0.2500, 0.2226, 0.2854)
Sc (0.7500, 0.1326, 0.4883)
Sc (0.2500, 0.6529, 0.8834)
Sc (0.7500, 0.4992, 0.6886)
Sc (0.2500, 0.1951, 0.9294)
Sc (0.7500, 0.7216, 0.2966)
Sc (0.2500, 0.8674, 0.5117)
Zr (0.7500, 0.4263, 0.9046)
Zr (0.2500, 0.3810, 0.4976)
Zr (0.7500, 0.0744, 0.0957)
Zr (0.2500, 0.5737, 0.0954)
Zr (0.2500, 0.9256, 0.9043)
Zr (0.7500, 0.6190, 0.5024)
Ho (0.7500, 0.0378, 0.7244)
Ho (0.2500, 0.9622, 0.2756)

***

(12)
First-principles (PBE) data for a relaxed structure of HoZr2Sc3, as listed in Alexandria via LeMat-Bulk.

Properties
crystal system: triclinic
calculated total energy: -0.2490 hartree per atom
ΔH_f (0 K): 0.00 eV per atom
calculated density: 5.37 Mg/m³

a = 6.1717 Å, b = 10.2497 Å, c = 6.5923 Å
α = 80.84°, β = 122.14°, γ = 121.12°
Element x y z (fractional)
Zr (0.6416, 0.3928, 0.0987)
Zr (0.3584, 0.6072, 0.9013)
Zr (0.3548, 0.6067, 0.4020)
Zr (0.6452, 0.3933, 0.5980)
Sc (0.6811, 0.9319, 0.2326)
Sc (0.9566, 0.7128, 0.4274)
Sc (0.0434, 0.2872, 0.5726)
Sc (0.9673, 0.7116, 0.9290)
Sc (0.3189, 0.0681, 0.7674)
Sc (0.0327, 0.2884, 0.0710)
Ho (0.6846, 0.9338, 0.7335)
Ho (0.3154, 0.0662, 0.2665)

***

(13)
First-principles (PBE) data for a relaxed structure of Ho6ZrSc2, as listed in Alexandria via LeMat-Bulk.

Properties
crystal system: trigonal
calculated total energy: -0.1836 hartree per atom
ΔH_f (0 K): 0.41 eV per atom
calculated density: 7.12 Mg/m³

a = 7.1467 Å, b = 7.1467 Å, c = 7.4217 Å
α = 61.22°, β = 61.22°, γ = 60.00°
Element x y z (fractional)
Ho (0.6144, 0.0485, 0.2884)
Ho (0.0488, 0.6144, 0.2884)
Ho (0.7709, 0.2646, 0.7001)
Ho (0.0485, 0.0488, 0.2884)
Ho (0.2646, 0.2643, 0.7001)
Ho (0.2643, 0.7709, 0.7001)
Sc (0.7564, 0.7564, 0.7307)
Sc (0.5838, 0.5838, 0.2486)
Zr (0.3140, 0.3140, 0.0581)

***

(14)
First-principles (PBE) data for a relaxed structure of HoZr2Sc7, as listed in Alexandria via LeMat-Bulk.

Properties
crystal system: triclinic
calculated total energy: -0.2412 hartree per atom
ΔH_f (0 K): 0.04 eV per atom
calculated density: 4.48 Mg/m³

a = 5.6328 Å, b = 7.2683 Å, c = 8.0196 Å
α = 111.33°, β = 61.99°, γ = 120.90°
Element x y z (fractional)
Sc (0.9032, 0.6987, 0.5964)
Sc (0.5000, 0.5000, 0.0000)
Sc (0.0968, 0.3013, 0.4036)
Sc (0.7082, 0.0995, 0.7872)
Sc (0.2112, 0.5939, 0.7899)
Sc (0.2918, 0.9005, 0.2128)
Sc (0.7888, 0.4061, 0.2101)
Ho (0.0000, 0.0000, 0.0000)
Zr (0.4044, 0.1954, 0.5944)
Zr (0.5956, 0.8046, 0.4056)

***

(15)
First-principles (PBE) data for a relaxed structure of HoZrSc6, as listed in Alexandria via LeMat-Bulk.

Properties
crystal system: orthorhombic
calculated total energy: -0.2331 hartree per atom
ΔH_f (0 K): 0.05 eV per atom
calculated density: 4.39 Mg/m³

a = 4.5865 Å, b = 9.2802 Å, c = 6.5884 Å
α = 134.77°, β = 90.00°, γ = 90.00°
Element x y z (fractional)
Sc (0.0000, 0.3805, 0.2477)
Sc (0.0000, 0.3820, 0.7639)
Sc (0.5000, 0.6208, 0.7509)
Sc (0.0000, 0.8671, 0.2477)
Sc (0.5000, 0.1301, 0.7509)
Sc (0.5000, 0.1290, 0.2580)
Ho (0.0000, 0.8703, 0.7407)
Zr (0.5000, 0.6201, 0.2403)

***

(16)
First-principles (PBE) data for a relaxed structure of HoZr2Sc2, as listed in Alexandria via LeMat-Bulk.

Properties
crystal system: tetragonal
calculated total energy: -0.2343 hartree per atom
ΔH_f (0 K): 0.49 eV per atom
calculated density: 5.52 Mg/m³

a = 5.4700 Å, b = 5.4693 Å, c = 5.8543 Å
α = 117.85°, β = 117.85°, γ = 90.00°
Element x y z (fractional)
Zr (0.3576, 0.3576, 0.7153)
Zr (0.6424, 0.6424, 0.2848)
Sc (0.2503, 0.7503, 0.5006)
Sc (0.7497, 0.2497, 0.4994)
Ho (0.0000, 0.0000, 0.0000)

***

(17)
First-principles (PBE) data for a relaxed structure of Ho6ZrSc, as listed in Alexandria via LeMat-Bulk.

Properties
crystal system: triclinic
calculated total energy: -0.1698 hartree per atom
ΔH_f (0 K): 0.67 eV per atom
calculated density: 7.27 Mg/m³

a = 6.4203 Å, b = 6.4194 Å, c = 8.0951 Å
α = 66.59°, β = 66.71°, γ = 60.11°
Element x y z (fractional)
Ho (0.0604, 0.4401, 0.7599)
Ho (0.7376, 0.0625, 0.7611)
Ho (0.2624, 0.9375, 0.2389)
Ho (0.4375, 0.7415, 0.7592)
Ho (0.5625, 0.2585, 0.2408)
Ho (0.9396, 0.5599, 0.2401)
Zr (0.0000, 0.0000, 0.0000)
Sc (0.5000, 0.5000, 0.5000)

***

(18)
First-principles (PBE) data for a relaxed structure of Ho2Zr3Sc8, as listed in Alexandria via LeMat-Bulk.

Properties
crystal system: monoclinic
calculated total energy: -0.2367 hartree per atom
ΔH_f (0 K): 0.13 eV per atom
calculated density: 4.68 Mg/m³

a = 4.4655 Å, b = 7.1587 Å, c = 10.7182 Å
α = 85.75°, β = 90.00°, γ = 90.00°
Element x y z (fractional)
Sc (0.5000, 0.1681, 0.2554)
Sc (0.0000, 0.1231, 0.7969)
Sc (0.0000, 0.8769, 0.2031)
Sc (0.5000, 0.4170, 0.8611)
Sc (0.5000, 0.5830, 0.1389)
Sc (0.0000, 0.4361, 0.3426)
Sc (0.5000, 0.8319, 0.7446)
Sc (0.0000, 0.5639, 0.6574)
Zr (0.0000, 0.2862, 0.0649)
Zr (0.5000, 0.0000, 0.0000)
Zr (0.0000, 0.7138, 0.9351)
Ho (0.5000, 0.2658, 0.5644)
Ho (0.5000, 0.7342, 0.4356)

***

(19)
First-principles (PBE) data for a relaxed structure of Ho2ZrSc2, as listed in Alexandria via LeMat-Bulk.

Properties
crystal system: monoclinic
calculated total energy: -0.2158 hartree per atom
ΔH_f (0 K): 0.20 eV per atom
calculated density: 6.28 Mg/m³

a = 5.8735 Å, b = 5.8735 Å, c = 9.2508 Å
α = 101.67°, β = 101.67°, γ = 114.19°
Element x y z (fractional)
Ho (0.7956, 0.7956, 0.5544)
Ho (0.2044, 0.2044, 0.4456)
Ho (0.7338, 0.7338, 0.1402)
Ho (0.2662, 0.2662, 0.8598)
Sc (0.3387, 0.7458, 0.6952)
Sc (0.6613, 0.2542, 0.3048)
Sc (0.2542, 0.6613, 0.3048)
Sc (0.7458, 0.3387, 0.6952)
Zr (0.7990, 0.2010, 0.0000)
Zr (0.2010, 0.7990, 0.0000)

***

(20)
First-principles (PBE) data for a relaxed structure of HoZrSc, as listed in Alexandria via LeMat-Bulk.

Properties
crystal system: hexagonal
calculated total energy: -0.2352 hartree per atom
ΔH_f (0 K): 0.09 eV per atom
calculated density: 6.47 Mg/m³

a = 3.2848 Å, b = 5.2120 Å, c = 5.2120 Å
α = 120.00°, β = 90.00°, γ = 90.00°
Element x y z (fractional)
Ho (0.6668, 0.6667, 0.3333)
Zr (0.1673, 0.3333, 0.6667)
Sc (0.1660, 0.0000, 0.0000)

***

(21)
First-principles (PBE) data for a relaxed structure of HoZr3Sc6, as listed in Alexandria via LeMat-Bulk.

Properties
crystal system: monoclinic
calculated total energy: -0.2469 hartree per atom
ΔH_f (0 K): 0.10 eV per atom
calculated density: 4.73 Mg/m³

a = 3.2810 Å, b = 15.9202 Å, c = 15.0909 Å
α = 140.84°, β = 90.00°, γ = 90.00°
Element x y z (fractional)
Zr (0.2500, 0.3318, 0.6210)
Zr (0.2500, 0.7471, 0.7808)
Zr (0.7500, 0.6682, 0.3790)
Zr (0.7500, 0.4518, 0.8649)
Zr (0.2500, 0.5482, 0.1351)
Zr (0.7500, 0.2529, 0.2192)
Sc (0.2500, 0.5133, 0.4103)
Sc (0.7500, 0.3433, 0.1003)
Sc (0.7500, 0.1372, 0.5875)
Sc (0.2500, 0.2105, 0.3459)
Sc (0.7500, 0.9549, 0.0575)
Sc (0.7500, 0.7251, 0.1444)
Sc (0.2500, 0.2749, 0.8556)
Sc (0.2500, 0.0451, 0.9425)
Sc (0.7500, 0.4867, 0.5897)
Sc (0.2500, 0.8628, 0.4125)
Sc (0.2500, 0.6567, 0.8997)
Sc (0.7500, 0.7895, 0.6541)
Ho (0.2500, 0.9790, 0.2895)
Ho (0.7500, 0.0210, 0.7105)

***

(22)
First-principles (PBE) data for a relaxed structure of HoZr2Sc2, as listed in Alexandria via LeMat-Bulk.

Properties
crystal system: tetragonal
calculated total energy: -0.2492 hartree per atom
ΔH_f (0 K): 0.09 eV per atom
calculated density: 5.75 Mg/m³

a = 8.6378 Å, b = 8.6378 Å, c = 3.3835 Å
α = 90.00°, β = 90.00°, γ = 90.00°
Element x y z (fractional)
Zr (0.1723, 0.3277, 0.5000)
Zr (0.8277, 0.6723, 0.5000)
Zr (0.6723, 0.1723, 0.5000)
Zr (0.3277, 0.8277, 0.5000)
Ho (0.5000, 0.5000, 0.0000)
Ho (0.0000, 0.0000, 0.0000)
Sc (0.8762, 0.3762, 0.0000)
Sc (0.1238, 0.6238, 0.0000)
Sc (0.6238, 0.8762, 0.0000)
Sc (0.3762, 0.1238, 0.0000)

***

(23)
First-principles (PBE) data for a relaxed structure of HoZr2Sc8, as listed in Alexandria via LeMat-Bulk.

Properties
crystal system: monoclinic
calculated total energy: -0.2404 hartree per atom
ΔH_f (0 K): 0.03 eV per atom
calculated density: 4.34 Mg/m³

a = 4.5872 Å, b = 7.3132 Å, c = 8.6621 Å
α = 104.56°, β = 105.35°, γ = 90.00°
Element x y z (fractional)
Sc (0.3161, 0.0932, 0.6322)
Sc (0.8581, 0.8069, 0.7163)
Sc (0.1419, 0.1931, 0.2837)
Sc (0.9520, 0.2761, 0.9040)
Sc (0.4034, 0.5383, 0.8069)
Sc (0.5966, 0.4617, 0.1931)
Sc (0.0480, 0.7239, 0.0960)
Sc (0.6839, 0.9068, 0.3678)
Zr (0.2283, 0.6298, 0.4566)
Zr (0.7717, 0.3702, 0.5434)
Ho (0.5000, 0.0000, 0.0000)